A relaxed Pr2SmCo2B2N3 crystal. Source: OQMD via LeMat-Bulk, functional PBE.

Values from the calculation:
As for the space group: I4/mmm (139). Its calculated total energy is -7.711 eV per atom. The value obtained for the total moment is 0.00 μB per cell.

Lattice parameters (Å, degrees): 10.269 10.269 10.269 159.61 159.61 28.99
Atoms (fractional coordinates):
Pr: 0.128 0.128 0.000
Pr: 0.872 0.872 0.000
Sm: 0.500 0.500 0.000
Co: 0.250 0.750 0.500
Co: 0.750 0.250 0.500
B: 0.302 0.302 0.000
B: 0.698 0.698 0.000
N: 0.000 0.000 0.000
N: 0.377 0.377 0.000
N: 0.623 0.623 0.000



A relaxed Tb2PrCo2B2N3 crystal. Source: OQMD via LeMat-Bulk, functional PBE.

Values from the calculation:
As for the space group: I4/mmm (139). Its calculated total energy is -7.762 eV per atom. The value obtained for the total moment is 0.01 μB per cell.

Lattice parameters (Å, degrees): 10.374 10.374 10.374 160.36 160.36 27.92
Atoms (fractional coordinates):
Tb: 0.127 0.127 0.000
Tb: 0.873 0.873 0.000
Pr: 0.500 0.500 0.000
Co: 0.250 0.750 0.500
Co: 0.750 0.250 0.500
B: 0.303 0.303 0.000
B: 0.697 0.697 0.000
N: 0.000 0.000 0.000
N: 0.378 0.378 0.000
N: 0.622 0.622 0.000



A relaxed TbPr2Co2B2N3 crystal. Source: OQMD via LeMat-Bulk, functional PBE.

Values from the calculation:
As for the space group: I4/mmm (139). Its calculated total energy is -7.726 eV per atom. The value obtained for the total moment is 0.04 μB per cell.

Lattice parameters (Å, degrees): 10.234 10.234 10.234 159.58 159.58 29.04
Atoms (fractional coordinates):
Tb: 0.000 0.000 0.000
Pr: 0.373 0.373 0.000
Pr: 0.627 0.627 0.000
Co: 0.250 0.750 0.500
Co: 0.750 0.250 0.500
B: 0.197 0.197 0.000
B: 0.803 0.803 0.000
N: 0.121 0.121 0.000
N: 0.500 0.500 0.000
N: 0.879 0.879 0.000



A relaxed Pr2TmCo2B2N3 crystal. Source: OQMD via LeMat-Bulk, functional PBE.

Values from the calculation:
As for the space group: I4/mmm (139). Its calculated total energy is -7.717 eV per atom. The value obtained for the total moment is 0.02 μB per cell.

Lattice parameters (Å, degrees): 10.138 10.138 10.138 159.52 159.52 29.12
Atoms (fractional coordinates):
Pr: 0.127 0.127 0.000
Pr: 0.873 0.873 0.000
Tm: 0.500 0.500 0.000
Co: 0.250 0.750 0.500
Co: 0.750 0.250 0.500
B: 0.304 0.304 0.000
B: 0.696 0.696 0.000
N: 0.000 0.000 0.000
N: 0.381 0.381 0.000
N: 0.619 0.619 0.000



A relaxed PrTm2Co2B2N3 crystal. Source: OQMD via LeMat-Bulk, functional PBE.

Values from the calculation:
As for the space group: I4/mmm (139). Its calculated total energy is -7.750 eV per atom. The value obtained for the total moment is 0.00 μB per cell.

Lattice parameters (Å, degrees): 10.360 10.360 10.360 160.57 160.57 27.61
Atoms (fractional coordinates):
Pr: 0.000 0.000 0.000
Tm: 0.373 0.373 0.000
Tm: 0.627 0.627 0.000
Co: 0.250 0.750 0.500
Co: 0.750 0.250 0.500
B: 0.196 0.196 0.000
B: 0.804 0.804 0.000
N: 0.122 0.122 0.000
N: 0.500 0.500 0.000
N: 0.878 0.878 0.000



A relaxed PrY2Co2B2N3 crystal. Source: OQMD via LeMat-Bulk, functional PBE.

Values from the calculation:
As for the space group: I4/mmm (139). Its calculated total energy is -8.127 eV per atom. The value obtained for the total moment is 0.01 μB per cell.

Lattice parameters (Å, degrees): 10.381 10.381 10.381 160.43 160.43 27.81
Atoms (fractional coordinates):
Pr: 0.000 0.000 0.000
Y: 0.373 0.373 0.000
Y: 0.627 0.627 0.000
Co: 0.250 0.750 0.500
Co: 0.750 0.250 0.500
B: 0.196 0.196 0.000
B: 0.804 0.804 0.000
N: 0.122 0.122 0.000
N: 0.500 0.500 0.000
N: 0.878 0.878 0.000



A relaxed TbSm2Co2B2N3 crystal. Source: OQMD via LeMat-Bulk, functional PBE.

Values from the calculation:
As for the space group: I4/mmm (139). Its calculated total energy is -7.799 eV per atom. The value obtained for the total moment is 0.03 μB per cell.

Lattice parameters (Å, degrees): 10.249 10.249 10.249 160.06 160.06 28.34
Atoms (fractional coordinates):
Tb: 0.000 0.000 0.000
Sm: 0.374 0.374 0.000
Sm: 0.626 0.626 0.000
Co: 0.250 0.750 0.500
Co: 0.750 0.250 0.500
B: 0.195 0.195 0.000
B: 0.805 0.805 0.000
N: 0.120 0.120 0.000
N: 0.500 0.500 0.000
N: 0.880 0.880 0.000



A relaxed SmTm2Co2B2N3 crystal. Source: OQMD via LeMat-Bulk, functional PBE.

Values from the calculation:
As for the space group: I4/mmm (139). Its calculated total energy is -7.811 eV per atom. The value obtained for the total moment is 0.01 μB per cell.

Lattice parameters (Å, degrees): 10.279 10.279 10.279 160.60 160.60 27.58
Atoms (fractional coordinates):
Sm: 0.000 0.000 0.000
Tm: 0.375 0.375 0.000
Tm: 0.625 0.625 0.000
Co: 0.250 0.750 0.500
Co: 0.750 0.250 0.500
B: 0.195 0.195 0.000
B: 0.805 0.805 0.000
N: 0.120 0.120 0.000
N: 0.500 0.500 0.000
N: 0.880 0.880 0.000



A relaxed Sm2YCo2B2N3 crystal. Source: OQMD via LeMat-Bulk, functional PBE.

Values from the calculation:
As for the space group: I4/mmm (139). Its calculated total energy is -7.984 eV per atom. The value obtained for the total moment is 0.06 μB per cell.

Lattice parameters (Å, degrees): 10.236 10.236 10.236 160.05 160.05 28.36
Atoms (fractional coordinates):
Sm: 0.126 0.126 0.000
Sm: 0.874 0.874 0.000
Y: 0.500 0.500 0.000
Co: 0.250 0.750 0.500
Co: 0.750 0.250 0.500
B: 0.305 0.305 0.000
B: 0.695 0.695 0.000
N: 0.000 0.000 0.000
N: 0.381 0.381 0.000
N: 0.619 0.619 0.000



A relaxed Tb2TmCo2B2N3 crystal. Source: OQMD via LeMat-Bulk, functional PBE.

Values from the calculation:
As for the space group: I4/mmm (139). Its calculated total energy is -7.857 eV per atom. The value obtained for the total moment is 0.03 μB per cell.

Lattice parameters (Å, degrees): 10.191 10.191 10.191 160.41 160.41 27.84
Atoms (fractional coordinates):
Tb: 0.124 0.124 0.000
Tb: 0.876 0.876 0.000
Tm: 0.500 0.500 0.000
Co: 0.250 0.750 0.500
Co: 0.750 0.250 0.500
B: 0.307 0.307 0.000
B: 0.693 0.693 0.000
N: 0.000 0.000 0.000
N: 0.383 0.383 0.000
N: 0.617 0.617 0.000



A relaxed TbTmCo2B2N2 crystal. Source: OQMD via LeMat-Bulk, functional PBE.

Values from the calculation:
As for the space group: P4mm (99). Its calculated total energy is -7.772 eV per atom. The value obtained for the total moment is 0.01 μB per cell.

Lattice parameters (Å, degrees): 3.466 3.466 7.432 90.00 90.00 90.00
Atoms (fractional coordinates):
Tb: 0.000 0.000 0.000
Tm: 0.500 0.500 0.335
Co: 0.000 0.500 0.668
Co: 0.500 0.000 0.668
B: 0.000 0.000 0.518
B: 0.500 0.500 0.819
N: 0.000 0.000 0.316
N: 0.500 0.500 0.024



A relaxed TbY2Co2B2N3 crystal. Source: OQMD via LeMat-Bulk, functional PBE.

Values from the calculation:
As for the space group: I4/mmm (139). Its calculated total energy is -8.215 eV per atom. The value obtained for the total moment is 0.04 μB per cell.

Lattice parameters (Å, degrees): 10.265 10.265 10.265 160.48 160.48 27.74
Atoms (fractional coordinates):
Tb: 0.000 0.000 0.000
Y: 0.376 0.376 0.000
Y: 0.624 0.624 0.000
Co: 0.250 0.750 0.500
Co: 0.750 0.250 0.500
B: 0.194 0.194 0.000
B: 0.806 0.806 0.000
N: 0.118 0.118 0.000
N: 0.500 0.500 0.000
N: 0.882 0.882 0.000



A relaxed TbYCo2B2N2 crystal. Source: OQMD via LeMat-Bulk, functional PBE.

Values from the calculation:
As for the space group: P4mm (99). Its calculated total energy is -7.996 eV per atom. The value obtained for the total moment is 0.01 μB per cell.

Lattice parameters (Å, degrees): 3.491 3.491 7.458 90.00 90.00 90.00
Atoms (fractional coordinates):
Tb: 0.000 0.000 0.000
Y: 0.500 0.500 0.337
Co: 0.000 0.500 0.669
Co: 0.500 0.000 0.669
B: 0.000 0.000 0.520
B: 0.500 0.500 0.819
N: 0.000 0.000 0.318
N: 0.500 0.500 0.021



A relaxed NaCoB4 crystal. Source: OQMD via LeMat-Bulk, functional PBE.

Values from the calculation:
As for the space group: Immm (71). Its calculated total energy is -5.544 eV per atom. The value obtained for the total moment is 1.44 μB per cell.

Lattice parameters (Å, degrees): 4.610 4.610 4.610 143.40 108.97 82.65
Atoms (fractional coordinates):
Na: 0.000 0.000 0.000
Co: 0.500 0.500 0.000
B: 0.105 0.761 0.344
B: 0.417 0.761 0.656
B: 0.583 0.239 0.344
B: 0.895 0.239 0.656



A relaxed NaCoB4 crystal. Source: OQMD via LeMat-Bulk, functional PBE.

Values from the calculation:
As for the space group: P6/mmm (191). Its calculated total energy is -5.799 eV per atom. The value obtained for the total moment is 0.04 μB per cell.

Lattice parameters (Å, degrees): 2.997 2.997 7.125 90.00 90.00 120.00
Atoms (fractional coordinates):
Na: 0.000 0.000 0.000
Co: 0.000 0.000 0.500
B: 0.333 0.667 0.304
B: 0.333 0.667 0.696
B: 0.667 0.333 0.304
B: 0.667 0.333 0.696



A relaxed NaNbCoB crystal. Source: OQMD via LeMat-Bulk, functional PBE.

Values from the calculation:
As for the space group: F-43m (216). Its calculated total energy is -5.589 eV per atom. The value obtained for the total moment is 0.18 μB per cell.

Lattice parameters (Å, degrees): 4.203 4.203 4.203 60.00 60.00 60.00
Atoms (fractional coordinates):
Na: 0.000 0.000 0.000
Nb: 0.500 0.500 0.500
Co: 0.750 0.750 0.750
B: 0.250 0.250 0.250



A relaxed NaNbCoB crystal. Source: OQMD via LeMat-Bulk, functional PBE.

Values from the calculation:
As for the space group: F-43m (216). Its calculated total energy is -5.610 eV per atom. The value obtained for the total moment is 0.00 μB per cell.

Lattice parameters (Å, degrees): 4.120 4.120 4.120 60.00 60.00 60.00
Atoms (fractional coordinates):
Na: 0.000 0.000 0.000
Nb: 0.250 0.250 0.250
Co: 0.500 0.500 0.500
B: 0.750 0.750 0.750